No. 1
The following is a PBE calculation of an optimized crystal structure of LaPr12Pb3, from Alexandria.

Cell: 5.052 5.052 20.725 Å, 90.00 90.00 90.00°
Fractional positions:
Pr  0.500  0.500  0.742
Pr  0.000  0.500  0.133
Pr  0.000  0.500  0.621
Pr  0.000  0.500  0.379
Pr  0.500  0.500  0.500
Pr  0.500  0.000  0.379
Pr  0.500  0.500  0.000
Pr  0.500  0.000  0.867
Pr  0.500  0.000  0.621
Pr  0.500  0.500  0.258
Pr  0.000  0.500  0.867
Pr  0.500  0.000  0.133
La  0.000  0.000  0.000
Pb  0.000  0.000  0.256
Pb  0.000  0.000  0.744
Pb  0.000  0.000  0.500

Properties
The formation enthalpy at 0 K is -243.7 meV per atom. Its final energy is -4.832 eV per atom.

No. 2
The following is a PBE calculation of an optimized crystal structure of LaPr2Pb, from Alexandria.

Cell: 3.725 3.725 11.728 Å, 80.95 80.95 59.98°
Fractional positions:
La  0.500  0.500  0.500
Pr  0.079  0.079  0.764
Pr  0.255  0.255  0.235
Pb  0.666  0.666  0.001

Properties
The formation enthalpy at 0 K is -145.6 meV per atom. For the excess energy over the best structure of this formula in the dataset, the calculation gives 0.216 eV/atom. Its final energy is -4.694 eV per atom.

No. 3
The following is a PBE calculation of an optimized crystal structure of LaPrPb, from Alexandria.

Cell: 4.783 4.783 9.062 Å, 90.00 90.01 89.99°
Fractional positions:
La  0.813  0.866  0.571
La  0.314  0.366  0.268
Pr  0.314  0.867  0.920
Pr  0.814  0.367  0.920
Pb  0.814  0.866  0.199
Pb  0.313  0.366  0.640

Properties
The formation enthalpy at 0 K is -463.7 meV per atom. For the excess energy over the best structure of this formula in the dataset, the calculation gives 0.000 eV/atom. Its final energy is -4.936 eV per atom.

No. 4
The following is a PBE calculation of an optimized crystal structure of La4Pr5Pb2, from Alexandria.

Cell: 5.198 5.198 20.450 Å, 82.70 82.70 60.00°
Fractional positions:
La  0.436  0.436  0.693
La  0.323  0.323  0.032
La  0.564  0.564  0.307
La  0.677  0.677  0.968
Pb  0.873  0.873  0.380
Pb  0.127  0.127  0.620
Pr  0.622  0.622  0.134
Pr  0.189  0.189  0.432
Pr  0.500  0.500  0.500
Pr  0.811  0.811  0.568
Pr  0.378  0.378  0.866

Properties
The formation enthalpy at 0 K is 316.4 meV per atom. Its final energy is -4.322 eV per atom.

No. 5
The following is a PBE calculation of an optimized crystal structure of La2PrPb3, from Alexandria.

Cell: 5.178 9.437 9.437 Å, 111.24 105.93 105.93°
Fractional positions:
La  0.750  0.084  0.916
La  0.250  0.916  0.084
La  0.250  0.251  0.749
La  0.750  0.749  0.251
Pb  0.000  0.500  0.000
Pb  0.002  0.169  0.334
Pb  0.998  0.831  0.666
Pb  0.502  0.334  0.169
Pb  0.500  0.000  0.500
Pb  0.498  0.666  0.831
Pr  0.750  0.417  0.583
Pr  0.250  0.583  0.417

Properties
The formation enthalpy at 0 K is -564.6 meV per atom. For the excess energy over the best structure of this formula in the dataset, the calculation gives 0.000 eV/atom. Its final energy is -4.858 eV per atom.

No. 6
The following is a PBE calculation of an optimized crystal structure of LaPr5Pb3, from Alexandria.

Cell: 6.892 9.862 9.862 Å, 120.00 90.00 90.00°
Site moments in Bohr magnetons follow the coordinates.
Fractional positions:
Pr  0.750  0.333  0.000  0.20
Pr  0.750  0.667  0.667  0.20
Pr  0.000  0.667  0.333  0.29
Pr  0.500  0.333  0.667  0.29
Pr  0.250  0.000  0.667  0.20
Pr  0.500  0.667  0.333  0.29
Pr  0.250  0.333  0.333  0.20
Pr  0.000  0.333  0.667  0.29
Pr  0.750  0.000  0.333  0.20
Pr  0.250  0.667  0.000  0.20
Pb  0.250  0.666  0.666  -0.02
Pb  0.750  0.666  0.000  -0.02
Pb  0.250  0.000  0.334  -0.02
Pb  0.750  0.000  0.666  -0.02
Pb  0.250  0.334  0.000  -0.02
Pb  0.750  0.334  0.334  -0.02
La  0.500  0.000  0.000  0.31
La  0.000  0.000  0.000  0.31

Properties
The formation enthalpy at 0 K is -448.5 meV per atom. Its final energy is -4.887 eV per atom.

No. 7
The following is a PBE calculation of an optimized crystal structure of La4Pr5Pb, from Alexandria.

Cell: 6.273 8.303 8.303 Å, 81.80 67.81 67.81°
Fractional positions:
Pr  0.140  0.000  0.623
Pr  0.682  0.000  0.000
Pr  0.763  0.377  0.000
Pr  0.139  0.623  0.000
Pr  0.763  0.000  0.377
La  0.457  0.694  0.306
La  0.457  0.306  0.694
La  0.151  0.306  0.306
La  0.762  0.694  0.694
Pb  0.197  0.000  0.000

Properties
The formation enthalpy at 0 K is 38.0 meV per atom. For the excess energy over the best structure of this formula in the dataset, the calculation gives 0.008 eV/atom. Its final energy is -4.694 eV per atom.

No. 8
The following is a PBE calculation of an optimized crystal structure of La5Pr5Pb6, from Alexandria.

Cell: 7.004 9.548 9.548 Å, 120.06 90.00 90.00°
Fractional positions:
Pb  0.000  0.999  0.393
Pb  0.500  0.000  0.608
Pb  0.500  0.391  0.391
Pb  0.500  0.608  0.000
Pb  0.000  0.609  0.609
Pb  0.000  0.393  0.999
La  0.749  0.334  0.667
La  0.000  0.240  0.240
La  0.251  0.667  0.334
La  0.251  0.334  0.667
La  0.749  0.667  0.334
Pr  0.000  0.759  0.000
Pr  0.500  0.999  0.240
Pr  0.500  0.761  0.761
Pr  0.000  0.000  0.759
Pr  0.500  0.240  0.999

Properties
The formation enthalpy at 0 K is -547.0 meV per atom. Its final energy is -4.971 eV per atom.

No. 9
The following is a PBE calculation of an optimized crystal structure of LaPr14Pb, from Alexandria.

Cell: 7.357 7.357 10.405 Å, 90.00 90.00 90.00°
Fractional positions:
Pr  0.130  0.380  0.245
Pr  0.620  0.870  0.755
Pr  0.620  0.870  0.245
Pr  0.620  0.380  0.246
Pr  0.875  0.625  0.500
Pr  0.375  0.125  0.500
Pr  0.130  0.870  0.755
Pr  0.875  0.125  0.500
Pr  0.620  0.380  0.754
Pr  0.874  0.624  0.000
Pr  0.376  0.126  0.000
Pr  0.375  0.625  0.500
Pr  0.130  0.870  0.245
Pr  0.130  0.380  0.755
La  0.875  0.125  0.000
Pb  0.375  0.625  0.000

Properties
The formation enthalpy at 0 K is -48.7 meV per atom. Its final energy is -4.771 eV per atom.

No. 10
The following is a PBE calculation of an optimized crystal structure of LaPrPb, from Alexandria.

Cell: 5.437 5.437 5.437 Å, 60.00 60.00 60.00°
Site moments in Bohr magnetons follow the coordinates.
Fractional positions:
La  0.500  0.500  0.500  0.04
Pr  0.000  0.000  0.000  0.05
Pb  0.250  0.250  0.250  -0.01

Properties
The formation enthalpy at 0 K is -300.5 meV per atom. For the excess energy over the best structure of this formula in the dataset, the calculation gives 0.163 eV/atom. Its final energy is -4.772 eV per atom.

No. 11
The following is a PBE calculation of an optimized crystal structure of LaPr4Pb5, from Alexandria.

Cell: 4.238 4.238 17.413 Å, 90.00 90.00 90.00°
Site moments in Bohr magnetons follow the coordinates.
Fractional positions:
Pr  0.000  0.000  0.200  0.10
Pr  0.000  0.000  0.800  0.10
Pr  0.000  0.000  0.401  0.08
Pr  0.000  0.000  0.599  0.08
Pb  0.500  0.500  0.103  0.01
Pb  0.500  0.500  0.500  0.00
Pb  0.500  0.500  0.301  0.00
Pb  0.500  0.500  0.897  0.01
Pb  0.500  0.500  0.699  0.00
La  0.000  0.000  0.000  0.10

Properties
The formation enthalpy at 0 K is -514.2 meV per atom. Its final energy is -4.773 eV per atom.

No. 12
The following is a PBE calculation of an optimized crystal structure of La2PrPb, from Alexandria.

Cell: 3.743 3.743 11.737 Å, 80.83 80.83 60.00°
Fractional positions:
Pb  0.666  0.666  0.001
La  0.254  0.254  0.238
La  0.079  0.079  0.762
Pr  0.500  0.500  0.499

Properties
The formation enthalpy at 0 K is -163.2 meV per atom. For the excess energy over the best structure of this formula in the dataset, the calculation gives 0.213 eV/atom. Its final energy is -4.749 eV per atom.

No. 13
The following is a PBE calculation of an optimized crystal structure of La3Pr2Pb, from Alexandria.

Cell: 5.094 5.030 8.398 Å, 107.43 90.00 90.00°
Fractional positions:
La  0.500  0.500  0.000
La  0.500  0.840  0.679
La  0.500  0.160  0.321
Pr  0.000  0.664  0.327
Pr  0.000  0.336  0.673
Pb  0.000  0.000  0.000

Properties
The formation enthalpy at 0 K is -214.7 meV per atom. Its final energy is -4.890 eV per atom.

No. 14
The following is a PBE calculation of an optimized crystal structure of La2PrPb, from Alexandria.

Cell: 5.131 5.025 5.025 Å, 90.00 90.00 90.00°
Fractional positions:
Pr  0.500  0.500  0.500
La  0.000  0.000  0.500
La  0.000  0.500  0.000
Pb  0.500  0.000  0.000

Properties
The formation enthalpy at 0 K is -376.4 meV per atom. For the excess energy over the best structure of this formula in the dataset, the calculation gives 0.000 eV/atom. Its final energy is -4.962 eV per atom.

No. 15
The following is a PBE calculation of an optimized crystal structure of La8PrPb2, from Alexandria.

Cell: 6.839 8.696 8.696 Å, 47.70 98.63 98.63°
Fractional positions:
La  0.572  0.642  0.180
La  0.065  0.413  0.413
La  0.572  0.180  0.642
La  0.783  0.208  0.208
La  0.428  0.820  0.358
La  0.428  0.358  0.820
La  0.935  0.587  0.587
La  0.217  0.792  0.792
Pr  0.000  0.000  0.000
Pb  0.724  0.762  0.762
Pb  0.276  0.238  0.238

Properties
The formation enthalpy at 0 K is -154.5 meV per atom. Its final energy is -4.847 eV per atom.

No. 16
The following is a PBE calculation of an optimized crystal structure of La4PrPb5, from Alexandria.

Cell: 3.683 3.683 23.228 Å, 90.00 90.00 90.00°
Fractional positions:
La  0.000  0.000  0.600
La  0.000  0.000  0.199
La  0.000  0.000  0.400
La  0.000  0.000  0.801
Pb  0.500  0.500  0.901
Pb  0.500  0.500  0.099
Pb  0.500  0.500  0.500
Pb  0.500  0.500  0.299
Pb  0.500  0.500  0.701
Pr  0.000  0.000  0.000

Properties
The formation enthalpy at 0 K is -573.6 meV per atom. Its final energy is -4.877 eV per atom.

No. 17
The following is a PBE calculation of an optimized crystal structure of La2Pr3Pb2, from Alexandria.

Cell: 6.728 6.531 13.933 Å, 153.17 90.55 101.85°
Fractional positions:
La  0.277  0.502  0.227
La  0.723  0.498  0.773
Pb  0.194  0.270  0.710
Pb  0.806  0.730  0.290
Pr  0.000  0.500  0.000
Pr  0.335  0.766  0.688
Pr  0.665  0.234  0.312

Properties
The formation enthalpy at 0 K is -318.3 meV per atom. For the excess energy over the best structure of this formula in the dataset, the calculation gives 0.000 eV/atom. Its final energy is -4.834 eV per atom.

No. 18
The following is a PBE calculation of an optimized crystal structure of LaPr3Pb2S, from Alexandria.

Cell: 5.361 5.346 9.228 Å, 106.84 106.89 90.00°
Fractional positions:
Pr  0.000  0.500  0.000
Pr  0.170  0.170  0.341
Pr  0.830  0.830  0.659
Pb  0.636  0.636  0.273
Pb  0.364  0.364  0.727
S  0.000  0.000  0.000
La  0.500  0.000  0.000

Properties
The value obtained for the uncorrected formation energy is -18.18 kcal/mol of atoms. Its final energy is -5.190 eV per atom.

No. 19
The following is a PBE calculation of an optimized crystal structure of La3PrPb2S, from Alexandria.

Cell: 5.364 5.378 9.301 Å, 106.81 106.76 90.00°
Fractional positions:
Pr  0.500  0.000  0.000
La  0.830  0.830  0.660
La  0.170  0.170  0.340
La  0.000  0.500  0.000
S  0.000  0.000  0.000
Pb  0.365  0.365  0.730
Pb  0.635  0.635  0.270

Properties
The value obtained for the uncorrected formation energy is -19.74 kcal/mol of atoms. Its final energy is -5.300 eV per atom.

No. 20
The following is a PBE calculation of an optimized crystal structure of La3Pr3Tl2Pb, from Alexandria.

Cell: 4.485 8.840 8.840 Å, 120.00 90.00 90.00°
Fractional positions:
La  0.500  0.000  0.724
La  0.500  0.724  0.000
La  0.500  0.276  0.276
Pr  0.000  0.000  0.401
Pr  0.000  0.401  0.000
Pr  0.000  0.599  0.599
Pb  0.000  0.000  0.000
Tl  0.500  0.333  0.667
Tl  0.500  0.667  0.333

Properties
The formation enthalpy at 0 K is -323.6 meV per atom. Its final energy is -4.497 eV per atom.